Computed, not measured: a crystal of Ce8Re13B12 relaxed with PBEsol at the meta-GGA SCAN level of DFT.

The value obtained for the formation energy is -0.426 eV/atom. For the total moment, the calculation gives 0.00 μB per formula unit. The space group is R-3m.

Cell lengths 7.7612, 7.7612, 7.7612 Å; angles 86.05, 86.05, 86.05 degrees
Atoms (fractional coordinates):
1 Ce 0.1468 0.1468 0.1468
2 Ce 0.1786 0.6833 0.6833
3 Ce 0.3167 0.3167 0.8214
4 Ce 0.3167 0.8214 0.3167
5 Ce 0.6833 0.1786 0.6833
6 Ce 0.6833 0.6833 0.1786
7 Ce 0.8214 0.3167 0.3167
8 Ce 0.8532 0.8532 0.8532
9 Re 0.0956 0.0956 0.5664
10 Re 0.0956 0.5664 0.0956
11 Re 0.1721 0.4254 0.4254
12 Re 0.4254 0.1721 0.4254
13 Re 0.4254 0.4254 0.1721
14 Re 0.4336 0.9044 0.9044
15 Re 0.5000 0.5000 0.5000
16 Re 0.5664 0.0956 0.0956
17 Re 0.5746 0.5746 0.8279
18 Re 0.5746 0.8279 0.5746
19 Re 0.8279 0.5746 0.5746
20 Re 0.9044 0.4336 0.9044
21 Re 0.9044 0.9044 0.4336
22 B 0.0000 0.1716 0.8284
23 B 0.0000 0.3473 0.6527
24 B 0.0000 0.6527 0.3473
25 B 0.0000 0.8284 0.1716
26 B 0.1716 0.0000 0.8284
27 B 0.1716 0.8284 0.0000
28 B 0.3473 0.0000 0.6527
29 B 0.3473 0.6527 0.0000
30 B 0.6527 0.0000 0.3473
31 B 0.6527 0.3473 0.0000
32 B 0.8284 0.0000 0.1716
33 B 0.8284 0.1716 0.0000